First-principles (PBE with a Hubbard U) data for a relaxed structure of TcNiO2, as listed in the Alexandria database.

```
8
Lattice="3.752 0.000 0.000 0.828 5.011 0.000 1.355 1.985 5.377" Properties=species:S:1:pos:R:3 pbc="T T T"
Tc 0.000 0.000 0.000
Tc 3.059 3.298 4.750
Ni 3.803 2.955 1.834
Ni 4.811 5.140 2.585
O 1.024 3.059 0.138
O 2.562 3.958 2.998
O 2.824 1.269 1.145
O 4.105 1.880 3.636
```

Calculated values
- SG = P1 (1)
- size of the total moment (Bohr magnetons per cell) = 2.02
- calculated total energy (eV per atom) = -6.3951
- distance to the lowest polymorph of the same formula (eV/f.u.) = 0.84